No. 1
# ReTcPb2

ReTcPb2 after structural relaxation (GGA-PBE, the Alexandria database).

Cell lengths 6.5524, 6.5524, 6.5524 Å; angles 151.42, 136.73, 52.67 degrees
Fractional positions:
Re 0.0000 0.0000 0.0000
Tc 0.8524 0.3524 0.5000
Pb 0.2834 0.7834 0.5000
Pb 0.5747 0.5747 0.0000

Values from the calculation:
Uncorrected energy (eV per atom): -6.75
DFT formation energy (eV/atom): 0.807
Energy above the lowest structure with this stoichiometry (meV per atom): 481

***

No. 2
# K3TlIn

K3TlIn after structural relaxation (GGA-PBE, the Alexandria database).

Cell lengths 8.4131, 8.4131, 8.7028 Å; angles 116.41, 116.41, 83.16 degrees
Fractional positions:
K 0.0472 0.0472 0.2713
K 0.0982 0.4798 0.8054
K 0.4798 0.0982 0.8054
K 0.5202 0.9018 0.1946
K 0.9018 0.5202 0.1946
K 0.9528 0.9528 0.7287
Tl 0.4137 0.4137 0.5860
Tl 0.5863 0.5863 0.4140
In 0.2909 0.2909 0.1583
In 0.7091 0.7091 0.8417

Values from the calculation:
Uncorrected energy (eV per atom): -1.70
DFT formation energy (eV/atom): -0.017
Energy above the lowest structure with this stoichiometry (meV per atom): 49

***

No. 3
# Li2HW

Li2HW after structural relaxation (GGA-PBE, the Alexandria database).

Cell lengths 4.1152, 4.1152, 4.1152 Å; angles 60.00, 60.00, 60.00 degrees
Fractional positions:
Li 0.2500 0.2500 0.2500
Li 0.7500 0.7500 0.7500
H 0.0000 0.0000 0.0000
W 0.5000 0.5000 0.5000

Values from the calculation:
Uncorrected energy (eV per atom): -3.40
Energy above the lowest structure with this stoichiometry (meV per atom): 953

***

No. 4
# Pm2ScPb9

Pm2ScPb9 after structural relaxation (GGA-PBE, the Alexandria database).

Cell lengths 4.9003, 4.9003, 14.5496 Å; angles 90.00, 90.00, 90.00 degrees
Fractional positions:
Pm 0.0000 0.0000 0.1682
Pm 0.0000 0.0000 0.8318
Sc 0.0000 0.0000 0.5000
Pb 0.0000 0.5000 0.0000
Pb 0.0000 0.5000 0.3410
Pb 0.0000 0.5000 0.6590
Pb 0.5000 0.0000 0.0000
Pb 0.5000 0.0000 0.3410
Pb 0.5000 0.0000 0.6590
Pb 0.5000 0.5000 0.1703
Pb 0.5000 0.5000 0.5000
Pb 0.5000 0.5000 0.8297

Values from the calculation:
Uncorrected energy (eV per atom): -4.38
DFT formation energy (eV/atom): -0.280